Tc2BrCl (SCAN, PBEsol geometry); DOS(E_F) = 5.414 states/eV/cell; energy = -23.372 eV per atom; energy relative to the lowest polymorph listed for this composition = 930 meV/atom; formation energy without anion corrections = 1017 meV/atom
1.0
2.898 0.000 0.000
1.449 4.918 0.011
1.449 2.112 4.442
Tc Br Cl
2 1 1
direct
0.269 0.731 0.731
0.731 0.269 0.269
0.500 0.000 0.000
0.000 0.500 0.500

---

TcBrCl2 (SCAN, PBEsol geometry); DOS(E_F) = 2.042 states/eV/cell; energy = -17.327 eV per atom; energy relative to the lowest polymorph listed for this composition = 444 meV/atom; formation energy without anion corrections = 292 meV/atom
1.0
3.036 0.000 0.000
0.000 3.036 0.000
0.000 0.000 8.150
Cl Br Tc
2 1 1
direct
0.500 0.500 0.320
0.000 0.000 0.989
0.500 0.500 0.686
0.000 0.000 0.504

---

Tc2BrCl (SCAN, PBEsol geometry); DOS(E_F) = 3.905 states/eV/cell; energy = -23.202 eV per atom; energy relative to the lowest polymorph listed for this composition = 1099 meV/atom; formation energy without anion corrections = 1187 meV/atom
1.0
4.350 0.000 0.000
2.175 3.767 0.000
2.175 1.256 3.552
Tc Br Cl
2 1 1
direct
0.250 0.250 0.250
0.750 0.750 0.750
0.000 0.000 0.000
0.500 0.500 0.500

---

Tc2BrCl (SCAN, PBEsol geometry); DOS(E_F) = 2.949 states/eV/cell; energy = -23.454 eV per atom; energy relative to the lowest polymorph listed for this composition = 847 meV/atom; formation energy without anion corrections = 935 meV/atom
1.0
-0.777 2.062 2.103
-2.753 -3.692 2.097
5.045 -0.314 0.219
Tc Cl Br
2 1 1
direct
0.500 0.500 0.500
0.000 0.000 0.500
0.500 0.500 0.000
0.000 0.000 0.000

---

Tc2BrCl (SCAN, PBEsol geometry); DOS(E_F) = 3.547 states/eV/cell; energy = -24.302 eV per atom; energy relative to the lowest polymorph listed for this composition = 0 meV/atom; formation energy without anion corrections = 88 meV/atom
1.0
2.924 0.000 0.000
0.000 2.924 0.000
0.000 0.000 8.180
Tc Cl Br
2 1 1
direct
0.000 0.000 0.022
0.500 0.500 0.219
0.500 0.500 0.822
0.000 0.000 0.437

---

Te2BrCl (SCAN, PBEsol geometry); energy = -25.770 eV per atom; energy relative to the lowest polymorph listed for this composition = 0 meV/atom; formation energy without anion corrections = -285 meV/atom
1.0
-1.936 -2.740 -2.253
-2.324 -2.875 1.869
-8.249 3.215 -0.444
Te Cl Br
2 1 1
direct
0.950 0.087 0.012
0.230 0.312 0.229
0.764 0.668 0.803
0.556 0.433 0.456